Entry 1:
VASP calculation (PBE) on Y3HgC after structural relaxation.

The formation energy comes out at -1.556 eV per formula unit. The density comes out at 6.28 g cm⁻³. The value obtained for the final energy is -6.095 eV per atom. The calculation puts the energy above the most stable polymorph in this dataset at 0.117 eV per atom.

It has space group P-1 (No. 2), with a = 6.186 Å, b = 6.681 Å, c = 7.210 Å, α = 64.50°, β = 82.31° and γ = 70.50°. The distinct sites, in fractional coordinates, are Y at (0.132, 0.200, 0.141), Y at (0.247, 0.194, 0.621), Y at (0.346, 0.683, 0.125), Hg at (0.270, 0.710, 0.571) and C at (0.053, 0.051, 0.908).

Entry 2:
VASP calculation (PBE) on KCdSBr after structural relaxation.

The density comes out at 3.54 g cm⁻³. The value obtained for the final energy is -2.991 eV per atom. For the formation energy (no corrections), the calculation gives -1038 meV per atom.

It has space group R3m (No. 160, hexagonal axes), with a = 4.2113 Å, b = 4.2113 Å, c = 24.1703 Å, α = 90.00°, β = 90.00° and γ = 120.00°. The distinct sites, in fractional coordinates, are K at (0.0000, 0.0000, 0.0000), Cd at (0.0000, 0.0000, 0.8603), S at (0.0000, 0.0000, 0.2332) and Br at (0.0000, 0.0000, 0.7496).

Entry 3:
VASP calculation (PBE) on Ba2MgAl4Hg3 after structural relaxation.

The formation energy comes out at -2.574 eV per formula unit. The density comes out at 6.49 g cm⁻³. The value obtained for the final energy is -2.389 eV per atom.

It has space group P-4m2 (No. 115), with a = 4.701 Å, b = 4.701 Å, c = 11.682 Å, α = 90.00°, β = 90.00° and γ = 90.00°. The distinct sites, in fractional coordinates, are Ba at (0.000, 0.500, 0.247), Mg at (0.000, 0.000, 0.500), Al at (0.000, 0.000, 0.000), Al at (0.000, 0.500, 0.636), Al at (0.500, 0.500, 0.000), Hg at (0.000, 0.500, 0.871) and Hg at (0.500, 0.500, 0.500).

Magnetization readings, ordered: 0.00; 0.00; 0.00 Bohr magnetons per cell